[1]
The following is a DFT calculation (PBE) of a geometry-optimized LiMgIn2 structure.

Its density of states at the Fermi level is 8.8 states/eV per cell. For the total magnetization, the calculation gives 0.000 μB per formula unit. The calculation puts the energy of formation at 0.040 eV/atom.

The space group is I-42d (No. 122) and the conventional cell measures 8.017, 8.017 and 6.122 Å, with angles of 90.00, 90.00 and 90.00 degrees. Symmetry generates all atoms from Li at (0.000, 0.000, 0.000), Mg at (0.000, 0.000, 0.500) and In at (0.235, 0.250, 0.125).

[2]
The following is a DFT calculation (PBE) of a geometry-optimized Li3MgIn12 structure.

Its density of states at the Fermi level is 5.1 states/eV per cell. For the total magnetization, the calculation gives 0.000 μB per formula unit. The calculation puts the energy of formation at -0.111 eV/atom.

The space group is P4/mmm (No. 123) and the conventional cell measures 4.625, 4.625 and 18.052 Å, with angles of 90.00, 90.00 and 90.00 degrees. Symmetry generates all atoms from Li at (0.000, 0.000, 0.000), Li at (0.000, 0.000, 0.249), Mg at (0.000, 0.000, 0.500), In at (0.000, 0.500, 0.125), In at (0.000, 0.500, 0.373), In at (0.500, 0.500, 0.000), In at (0.500, 0.500, 0.249) and In at (0.500, 0.500, 0.500).

Which of these has the lowest energy of formation? Li3MgIn12

Which value of energy of formation does entry 2 give? -0.111 eV/atom

Repeat the second record exactly.
The following is a DFT calculation (PBE) of a geometry-optimized Li3MgIn12 structure.

Its density of states at the Fermi level is 5.1 states/eV per cell. For the total magnetization, the calculation gives 0.000 μB per formula unit. The calculation puts the energy of formation at -0.111 eV/atom.

The space group is P4/mmm (No. 123) and the conventional cell measures 4.625, 4.625 and 18.052 Å, with angles of 90.00, 90.00 and 90.00 degrees. Symmetry generates all atoms from Li at (0.000, 0.000, 0.000), Li at (0.000, 0.000, 0.249), Mg at (0.000, 0.000, 0.500), In at (0.000, 0.500, 0.125), In at (0.000, 0.500, 0.373), In at (0.500, 0.500, 0.000), In at (0.500, 0.500, 0.249) and In at (0.500, 0.500, 0.500).